No. 1
# Na2LaPb2

Na2LaPb2 at its PBEsol-relaxed geometry (meta-GGA SCAN, Alexandria).

The structure belongs to space group I4/mmm (No. 139); the cell edges are 4.525, 4.525 and 14.680 Å and the angles 90.00°, 90.00° and 90.00°. Symmetry generates all atoms from Na at (0.000, 0.500, 0.250), La at (0.000, 0.000, 0.000) and Pb at (0.000, 0.000, 0.401).

As for the total magnetization: 0.00 μB per formula unit. For the energy of formation from the pure elements, the calculation gives -0.48 eV/atom.

No. 2
# Ho3Ga9Pt2

Ho3Ga9Pt2 at its PBEsol-relaxed geometry (meta-GGA SCAN, Alexandria).

The structure belongs to space group Immm (No. 71); the cell edges are 4.136, 9.871 and 12.115 Å and the angles 90.00°, 90.00° and 90.00°. Symmetry generates all atoms from Ho at (0.000, 0.000, 0.000), Ho at (0.000, 0.000, 0.323), Ga at (0.000, 0.280, 0.131), Ga at (0.000, 0.376, 0.332), Ga at (0.000, 0.500, 0.000) and Pt at (0.000, 0.225, 0.500).

As for the total magnetization: 0.00 μB per formula unit. For the energy of formation from the pure elements, the calculation gives -0.81 eV/atom.

Please write out number 1 again, unchanged.
# Na2LaPb2

Na2LaPb2 at its PBEsol-relaxed geometry (meta-GGA SCAN, Alexandria).

The structure belongs to space group I4/mmm (No. 139); the cell edges are 4.525, 4.525 and 14.680 Å and the angles 90.00°, 90.00° and 90.00°. Symmetry generates all atoms from Na at (0.000, 0.500, 0.250), La at (0.000, 0.000, 0.000) and Pb at (0.000, 0.000, 0.401).

As for the total magnetization: 0.00 μB per formula unit. For the energy of formation from the pure elements, the calculation gives -0.48 eV/atom.